1.
SrMg2Zn2Ge2: relaxed, GGA-PBE.

Computed properties:
As for the total energy: -18.53 eV/f.u. For the formation enthalpy at 0 K, the calculation gives -268 meV per atom. Its space group is R-3m, No. 166.

Structure (extended XYZ):
```
7
Lattice="2.263 1.307 8.388 -2.263 1.307 8.388 0.000 -2.613 8.388" Properties=species:S:1:pos:R:3 pbc="T T T"
Sr 0.000 0.000 0.000
Mg 0.000 0.000 3.506
Mg 0.000 0.000 21.659
Zn 0.000 0.000 11.140
Zn 0.000 0.000 14.025
Ge 0.000 0.000 6.346
Ge 0.000 0.000 18.819
```

=====

2.
SrMgZnGe: relaxed, GGA-PBE.

Computed properties:
As for the total energy: -10.19 eV/f.u. For the formation enthalpy at 0 K, the calculation gives -256 meV per atom. Its space group is F-43m, No. 216.

Structure (extended XYZ):
```
16
Lattice="7.228 0.000 0.000 0.000 7.228 0.000 0.000 0.000 7.228" Properties=species:S:1:pos:R:3 pbc="T T T"
Sr 0.000 0.000 0.000
Sr 0.000 3.614 3.614
Sr 3.614 0.000 3.614
Sr 3.614 3.614 0.000
Mg 0.000 0.000 3.614
Mg 0.000 3.614 0.000
Mg 3.614 0.000 0.000
Mg 3.614 3.614 3.614
Zn 1.807 1.807 5.421
Zn 1.807 5.421 1.807
Zn 5.421 1.807 1.807
Zn 5.421 5.421 5.421
Ge 1.807 1.807 1.807
Ge 1.807 5.421 5.421
Ge 5.421 1.807 5.421
Ge 5.421 5.421 1.807
```

=====

3.
Mg3TaGe: relaxed, GGA-PBE.

Computed properties:
As for the total energy: -13.84 eV/f.u. For the formation enthalpy at 0 K, the calculation gives 1483 meV per atom. The calculation puts the energy above the most stable polymorph in this dataset at 456 meV/atom. Its space group is Pm-3m, No. 221.

Structure (extended XYZ):
```
5
Lattice="5.361 0.000 0.000 0.000 5.361 0.000 0.000 0.000 5.361" Properties=species:S:1:pos:R:3 pbc="T T T"
Mg 0.000 0.000 2.680
Mg 0.000 2.680 0.000
Mg 2.680 0.000 0.000
Ta 0.000 0.000 0.000
Ge 2.680 2.680 2.680
```

=====

4.
Mg3TaGe: relaxed, GGA-PBE.

Computed properties:
As for the total energy: -16.12 eV/f.u. For the formation enthalpy at 0 K, the calculation gives 1027 meV per atom. The calculation puts the energy above the most stable polymorph in this dataset at 0 meV/atom. Its space group is Pm-3m, No. 221.

Structure (extended XYZ):
```
5
Lattice="4.914 0.000 0.000 0.000 4.914 0.000 0.000 0.000 4.914" Properties=species:S:1:pos:R:3 pbc="T T T"
Mg 0.000 0.000 2.457
Mg 0.000 2.457 0.000
Mg 2.457 0.000 0.000
Ta 2.457 2.457 2.457
Ge 0.000 0.000 0.000
```

=====

5.
MgTaGe3: relaxed, GGA-PBE.

Computed properties:
As for the total energy: -25.41 eV/f.u. For the formation enthalpy at 0 K, the calculation gives 377 meV per atom. The calculation puts the energy above the most stable polymorph in this dataset at 0 meV/atom. Its space group is Pm-3m, No. 221.

Structure (extended XYZ):
```
5
Lattice="5.043 0.000 0.000 0.000 5.043 0.000 0.000 0.000 5.043" Properties=species:S:1:pos:R:3 pbc="T T T"
Mg 0.000 0.000 0.000
Ta 2.521 2.521 2.521
Ge 0.000 2.521 2.521
Ge 2.521 0.000 2.521
Ge 2.521 2.521 0.000
```

=====

6.
MgTaGe3: relaxed, GGA-PBE.

Computed properties:
As for the total energy: -20.74 eV/f.u. For the formation enthalpy at 0 K, the calculation gives 1312 meV per atom. The calculation puts the energy above the most stable polymorph in this dataset at 935 meV/atom. Its space group is Pm-3m, No. 221.

Structure (extended XYZ):
```
5
Lattice="4.800 0.000 0.000 0.000 4.800 0.000 0.000 0.000 4.800" Properties=species:S:1:pos:R:3 pbc="T T T"
Mg 0.000 0.000 0.000
Ta 2.400 2.400 2.400
Ge 0.000 0.000 2.400
Ge 0.000 2.400 0.000
Ge 2.400 0.000 0.000
```

=====

7.
MgTa3Ge: relaxed, GGA-PBE.

Computed properties:
As for the total energy: -32.41 eV/f.u. For the formation enthalpy at 0 K, the calculation gives 1873 meV per atom. The calculation puts the energy above the most stable polymorph in this dataset at 886 meV/atom. Its space group is Pm-3m, No. 221.

Structure (extended XYZ):
```
5
Lattice="4.707 0.000 0.000 0.000 4.707 0.000 0.000 0.000 4.707" Properties=species:S:1:pos:R:3 pbc="T T T"
Mg 0.000 0.000 0.000
Ta 0.000 0.000 2.353
Ta 0.000 2.353 0.000
Ta 2.353 0.000 0.000
Ge 2.353 2.353 2.353
```

=====

8.
MgTa2Ge: relaxed, GGA-PBE.

Computed properties:
As for the total energy: -28.07 eV/f.u. For the formation enthalpy at 0 K, the calculation gives 462 meV per atom. Its space group is I-42d, No. 122.

Structure (extended XYZ):
```
16
Lattice="7.392 0.000 0.000 0.000 7.392 0.000 0.000 0.000 5.572" Properties=species:S:1:pos:R:3 pbc="T T T"
Mg 0.000 0.000 0.000
Mg 0.000 3.696 1.393
Mg 3.696 0.000 4.179
Mg 3.696 3.696 2.786
Ta 1.658 1.848 3.483
Ta 1.848 5.354 4.876
Ta 1.848 5.734 2.090
Ta 2.038 1.848 0.697
Ta 5.354 5.544 0.697
Ta 5.544 1.658 2.090
Ta 5.544 2.038 4.876
Ta 5.734 5.544 3.483
Ge 0.000 0.000 2.786
Ge 0.000 3.696 4.179
Ge 3.696 0.000 1.393
Ge 3.696 3.696 0.000
```

=====

Question: formation enthalpy at 0 K of number 2 (SrMgZnGe)?
Answer: -256 meV per atom

=====

Question: Which value of formation enthalpy at 0 K does entry 7 give?
Answer: 1873 meV per atom